# 1
The following is a SCAN calculation of KZnAu at its PBEsol-relaxed geometry, from the Alexandria database.

E_form = -28 kJ per mole of atoms
DFT total energy = -30.629 eV/atom
ΔE to the lowest computed polymorph = 0.0000 eV per atom

Cell lengths 4.4181, 4.4181, 4.7198 Å; angles 90.00, 90.00, 120.00 degrees
Space group P-6m2 (No. 187)
One atom of each set of equivalent atoms:
K (0.0000, 0.0000, 0.0000)
Zn (0.6667, 0.3333, 0.5000)
Au (0.3333, 0.6667, 0.5000)

# 2
The following is a SCAN calculation of MgTc at its PBEsol-relaxed geometry, from the Alexandria database.

E_form = 13 kJ per mole of atoms
DFT total energy = -19.880 eV/atom
ΔE to the lowest computed polymorph = 0.2031 eV per atom

Cell lengths 3.168, 4.654, 8.812 Å; angles 90.00, 90.00, 90.00 degrees
Space group Imma (No. 74)
One atom of each set of equivalent atoms:
Mg (0.000, 0.250, 0.113)
Tc (0.000, 0.250, 0.649)

# 3
The following is a SCAN calculation of YHfS2 at its PBEsol-relaxed geometry, from the Alexandria database.

uncorrected formation energy = -1.4040 eV per atom
DFT total energy = -28.847 eV/atom

Cell lengths 3.5569, 3.5569, 25.0549 Å; angles 90.00, 90.00, 120.00 degrees
Space group R-3m (No. 166, hexagonal axes)
One atom of each set of equivalent atoms:
Y (0.0000, 0.0000, 0.0000)
Hf (0.0000, 0.0000, 0.5000)
S (0.0000, 0.0000, 0.1067)

# 4
The following is a SCAN calculation of Mg2ICl2 at its PBEsol-relaxed geometry, from the Alexandria database.

uncorrected formation energy = -1.0067 eV per atom
DFT total energy = -13.536 eV/atom

Cell lengths 4.896, 4.896, 10.381 Å; angles 90.00, 90.00, 90.00 degrees
Space group I4/mmm (No. 139)
One atom of each set of equivalent atoms:
Mg (0.000, 0.500, 0.250)
I (0.000, 0.000, 0.000)
Cl (0.000, 0.000, 0.338)

# 5
The following is a SCAN calculation of Mn4BeBr at its PBEsol-relaxed geometry, from the Alexandria database.

uncorrected formation energy = 1.0522 eV per atom
DFT total energy = -15.087 eV/atom

Cell lengths 6.576, 6.576, 6.576 Å; angles 90.00, 90.00, 90.00 degrees
Space group F-43m (No. 216)
One atom of each set of equivalent atoms:
Mn (0.125, 0.125, 0.125)
Be (0.000, 0.000, 0.500)
Br (0.250, 0.250, 0.750)

# 6
The following is a SCAN calculation of Tl2HgAu at its PBEsol-relaxed geometry, from the Alexandria database.

E_form = 1 kJ per mole of atoms
DFT total energy = -70.504 eV/atom
ΔE to the lowest computed polymorph = 0.0404 eV per atom

Cell lengths 3.6007, 3.6007, 26.5627 Å; angles 90.00, 90.00, 120.00 degrees
Space group R3m (No. 160, hexagonal axes)
One atom of each set of equivalent atoms:
Tl (0.0000, 0.0000, 0.0000)
Tl (0.0000, 0.0000, 0.2330)
Hg (0.0000, 0.0000, 0.4796)
Au (0.0000, 0.0000, 0.7410)

# 7
The following is a SCAN calculation of Cd2SbAs at its PBEsol-relaxed geometry, from the Alexandria database.

uncorrected formation energy = 0.2460 eV per atom
DFT total energy = -29.324 eV/atom
ΔE to the lowest computed polymorph = 0.1263 eV per atom

Cell lengths 6.155, 9.039, 3.223 Å; angles 90.00, 90.00, 90.00 degrees
Space group Cmmm (No. 65)
One atom of each set of equivalent atoms:
Cd (0.250, 0.250, 0.000)
Sb (0.000, 0.000, 0.500)
As (0.000, 0.500, 0.500)

# 8
The following is a SCAN calculation of CrNi2 at its PBEsol-relaxed geometry, from the Alexandria database.

E_form = 13 kJ per mole of atoms
DFT total energy = -16.780 eV/atom

Cell lengths 9.173, 2.425, 5.881 Å; angles 90.00, 104.93, 90.00 degrees
Space group Cm (No. 8)
One atom of each set of equivalent atoms:
Cr (0.000, 0.000, 0.000)
Cr (0.170, 0.500, 0.333)
Ni (0.059, 0.000, 0.614)
Ni (0.225, 0.500, 0.950)
Ni (0.335, 0.000, 0.669)
Ni (0.394, 0.000, 0.283)